1.
A plane-wave DFT calculation with PBE was carried out for Ac4Pr15In after structural relaxation.

Cell and atoms, written as extended XYZ:
```
20
Lattice="-2.137 -4.641 1.272 -0.623 -1.114 -5.108 24.053 -11.212 -0.489" Properties=species:S:1:pos:R:3 pbc="T T T"
Pr 13.113 -9.633 -2.213
Pr 10.958 -7.926 0.392
Pr 6.803 -3.873 -2.699
Pr 3.243 -5.032 -2.012
Pr 8.179 -7.333 -2.112
Pr 1.902 -1.589 -2.599
Pr 1.145 -3.352 0.591
Pr 18.050 -11.934 -2.313
Pr 20.770 -12.501 0.192
Pr 16.627 -8.453 -2.899
Pr 6.046 -5.637 0.492
Pr 21.528 -10.737 -2.998
Pr 11.715 -6.163 -2.799
Pr -1.380 -2.877 -1.918
Pr 15.869 -10.216 0.292
Ac 4.680 -2.182 -0.095
Ac 9.580 -4.466 -0.195
Ac 19.373 -9.031 -0.394
Ac 14.473 -6.746 -0.294
In 0.000 0.000 0.000
```

Density in Mg/m³: 7.08
Formation energy in meV per atom: -29.5
SG: P4/mmm, No. 123
Size of the total moment in Bohr magnetons per cell: 0.000


2.
A plane-wave DFT calculation with PBE was carried out for AcPr2In3 after structural relaxation.

Cell and atoms, written as extended XYZ:
```
6
Lattice="3.964 0.000 0.000 0.000 3.964 0.000 0.000 0.000 11.962" Properties=species:S:1:pos:R:3 pbc="T T T"
In 0.000 0.000 0.000
In 0.000 0.000 3.806
In 0.000 0.000 8.156
Ac 1.982 1.982 5.981
Pr 1.982 1.982 1.922
Pr 1.982 1.982 10.039
```

Density in Mg/m³: 7.54
Formation energy in meV per atom: -465.2
SG: P4/mmm, No. 123
Size of the total moment in Bohr magnetons per cell: 0.000


3.
A plane-wave DFT calculation with PBE was carried out for Ac3Pr2In4 after structural relaxation.

Cell and atoms, written as extended XYZ:
```
9
Lattice="-0.946 -0.684 -5.559 2.137 -4.287 3.066 -9.976 -3.473 2.126" Properties=species:S:1:pos:R:3 pbc="T T T"
Ac -4.108 -3.343 -1.791
Ac 0.000 0.000 0.000
Ac -4.677 -5.101 1.424
Pr -7.758 -4.614 -1.014
Pr -1.027 -3.830 0.646
In -0.932 -2.240 -2.468
In -2.244 -6.165 -1.761
In -7.853 -6.204 2.100
In -6.541 -2.279 1.394
```

Density in Mg/m³: 7.83
Formation energy in meV per atom: -354.2
SG: C2/m, No. 12
Size of the total moment in Bohr magnetons per cell: 0.000


4.
A plane-wave DFT calculation with PBE was carried out for Ac4PrIn after structural relaxation.

Cell and atoms, written as extended XYZ:
```
6
Lattice="-1.218 -2.696 2.626 3.630 -0.113 1.568 -3.864 11.246 9.753" Properties=species:S:1:pos:R:3 pbc="T T T"
Ac -1.384 4.027 3.492
Ac -2.480 7.219 6.260
Ac -1.994 7.910 10.175
Ac 0.542 0.527 3.772
In -0.726 4.219 6.973
Pr 0.000 0.000 0.000
```

Polymorph energy (0 for the lowest one) in eV/f.u.: 0.000
Density in Mg/m³: 8.03
Formation energy in meV per atom: -116.8
SG: P4/mmm, No. 123
Size of the total moment in Bohr magnetons per cell: 0.001


5.
A plane-wave DFT calculation with PBE was carried out for Ac2Pr8In after structural relaxation.

Cell and atoms, written as extended XYZ:
```
11
Lattice="7.106 1.865 1.415 2.719 9.367 2.707 2.719 5.130 8.292" Properties=species:S:1:pos:R:3 pbc="T T T"
Pr 4.662 9.736 5.273
Pr 7.882 6.626 7.142
Pr 8.530 10.073 7.643
Pr 7.110 5.031 3.817
Pr 4.014 6.289 4.772
Pr 5.435 11.331 8.597
Pr 7.882 8.662 4.458
Pr 4.662 7.700 7.957
Ac 8.559 12.984 9.852
Ac 3.985 3.378 2.563
In 0.000 0.000 0.000
```

Density in Mg/m³: 6.89
Formation energy in meV per atom: 29.7
SG: C2/m, No. 12
Size of the total moment in Bohr magnetons per cell: 0.000


6.
A plane-wave DFT calculation with PBE was carried out for AcPrIn after structural relaxation.

Cell and atoms, written as extended XYZ:
```
6
Lattice="-3.274 3.798 0.029 -3.545 -3.069 1.776 2.360 1.973 8.120" Properties=species:S:1:pos:R:3 pbc="T T T"
Pr 1.180 0.987 4.060
Pr -2.229 1.351 4.962
In 0.150 3.392 6.161
In -1.199 -1.055 2.862
Ac 0.242 0.150 7.819
Ac -1.291 2.188 1.204
```

Polymorph energy (0 for the lowest one) in eV/f.u.: 0.000
Density in Mg/m³: 7.34
Formation energy in meV per atom: -301.4
SG: P4/nmm, No. 129
Size of the total moment in Bohr magnetons per cell: 0.673


7.
A plane-wave DFT calculation with PBE was carried out for AcPr4In5 after structural relaxation.

Cell and atoms, written as extended XYZ:
```
10
Lattice="3.943 0.000 0.000 0.000 3.943 0.000 0.000 0.000 19.722" Properties=species:S:1:pos:R:3 pbc="T T T"
In 1.972 1.972 17.530
In 1.972 1.972 6.026
In 1.972 1.972 9.861
In 1.972 1.972 13.696
In 1.972 1.972 2.192
Ac 0.000 0.000 0.000
Pr 0.000 0.000 4.087
Pr 0.000 0.000 11.781
Pr 0.000 0.000 15.635
Pr 0.000 0.000 7.941
```

Density in Mg/m³: 7.39
Formation energy in meV per atom: -477.1
SG: P4/mmm, No. 123
Size of the total moment in Bohr magnetons per cell: 0.000


8.
A plane-wave DFT calculation with PBE was carried out for AcPrIn after structural relaxation.

Cell and atoms, written as extended XYZ:
```
3
Lattice="3.866 0.000 0.000 0.000 3.866 0.000 -1.933 -1.933 7.120" Properties=species:S:1:pos:R:3 pbc="T T T"
In 1.933 1.933 1.540
Ac 0.000 0.000 3.872
Pr 1.933 1.933 6.693
```

Polymorph energy (0 for the lowest one) in eV/f.u.: 0.125
Density in Mg/m³: 7.53
Formation energy in meV per atom: -259.8
SG: I4mm, No. 107
Size of the total moment in Bohr magnetons per cell: 0.000


9.
A plane-wave DFT calculation with PBE was carried out for Ac2PrIn after structural relaxation.

Cell and atoms, written as extended XYZ:
```
4
Lattice="-1.776 0.145 3.341 -1.431 -3.158 1.522 9.964 -3.131 7.579" Properties=species:S:1:pos:R:3 pbc="T T T"
Ac 6.792 -2.520 5.866
Ac -0.035 -3.625 6.576
In 3.379 -3.072 6.221
Pr 0.000 0.000 0.000
```

Polymorph energy (0 for the lowest one) in eV/f.u.: 1.188
Density in Mg/m³: 7.46
Formation energy in meV per atom: 99.3
SG: R-3m, No. 166
Size of the total moment in Bohr magnetons per cell: 0.531


10.
A plane-wave DFT calculation with PBE was carried out for Ac2PrIn after structural relaxation.

Cell and atoms, written as extended XYZ:
```
4
Lattice="-3.878 0.658 0.412 -1.785 -0.787 3.440 0.321 10.715 4.892" Properties=species:S:1:pos:R:3 pbc="T T T"
Ac -0.186 8.243 4.063
Ac -1.381 2.426 2.112
In -3.454 10.627 7.460
Pr -2.670 5.296 4.374
```

Polymorph energy (0 for the lowest one) in eV/f.u.: 0.475
Density in Mg/m³: 7.53
Formation energy in meV per atom: -78.9
SG: R3m, No. 160
Size of the total moment in Bohr magnetons per cell: 0.003


11.
A plane-wave DFT calculation with PBE was carried out for Ac5Pr4In4 after structural relaxation.

Cell and atoms, written as extended XYZ:
```
13
Lattice="5.047 0.000 1.283 2.523 9.582 0.642 0.162 0.000 9.928" Properties=species:S:1:pos:R:3 pbc="T T T"
Pr 3.851 2.961 5.984
Pr 3.881 6.620 5.868
Pr 1.794 4.731 3.512
Pr 5.939 4.851 8.341
Ac 1.774 0.780 3.589
Ac 0.000 0.000 0.000
Ac 2.878 3.041 9.813
Ac 4.854 6.541 2.039
Ac 5.958 8.802 8.264
In 6.812 8.018 4.904
In 4.661 3.074 2.799
In 3.071 6.507 9.053
In 0.920 1.564 6.948
```

Density in Mg/m³: 7.50
Formation energy in meV per atom: -279.9
SG: I4/m, No. 87
Size of the total moment in Bohr magnetons per cell: 0.000


12.
A plane-wave DFT calculation with PBE was carried out for AcPr4In2 after structural relaxation.

Cell and atoms, written as extended XYZ:
```
7
Lattice="-2.021 -3.697 5.225 -1.270 -6.505 -1.064 7.226 4.853 1.724" Properties=species:S:1:pos:R:3 pbc="T T T"
Pr -1.010 -1.849 2.613
Pr -0.635 -3.252 -0.532
Pr 1.730 -2.129 4.578
Pr 2.205 -3.221 1.307
Ac 0.000 0.000 0.000
In 4.085 0.016 3.269
In -0.150 -5.365 2.616
```

Polymorph energy (0 for the lowest one) in eV/f.u.: 0.000
Density in Mg/m³: 6.89
Formation energy in meV per atom: 20.8
SG: C2/m, No. 12
Size of the total moment in Bohr magnetons per cell: 0.000